Record 1
Pa2Co6GeB, optimized geometry, DFT GGA-PBE; formation energy from the elements = -400.8 meV/atom; space group = No. 166; VASP energy = -7.693 eV/atom; Fermi-level density of states = 12.69 states/eV per cell; density = 10765 kg/m³; spin magnetization = 0.00 μB/cell
1.0
2.6081 1.5058 11.7722
-2.6081 1.5058 11.7722
0.0000 -3.0116 11.7722
Pa Co Ge B
4 12 2 2
Direct
0.1177 0.1177 0.1177
0.2869 0.2869 0.2869
0.7131 0.7131 0.7131
0.8823 0.8823 0.8823
0.1133 0.6455 0.6455
0.2031 0.2031 0.6907
0.2031 0.6907 0.2031
0.3093 0.7969 0.7969
0.3545 0.3545 0.8867
0.3545 0.8867 0.3545
0.6455 0.1133 0.6455
0.6455 0.6455 0.1133
0.6907 0.2031 0.2031
0.7969 0.3093 0.7969
0.7969 0.7969 0.3093
0.8867 0.3545 0.3545
0.4182 0.4182 0.4182
0.5818 0.5818 0.5818
0.0000 0.0000 0.0000
0.5000 0.5000 0.5000

Record 2
Pa3Co9GeB2, optimized geometry, DFT GGA-PBE; formation energy from the elements = -400.3 meV/atom; space group = No. 164; VASP energy = -7.761 eV/atom; Fermi-level density of states = 9.06 states/eV per cell; density = 10742 kg/m³; spin magnetization = 0.00 μB/cell
1.0
5.2899 0.0000 0.0000
-2.6449 4.5812 0.0000
0.0000 0.0000 8.4059
Pa Co Ge B
3 9 1 2
Direct
0.0000 0.0000 0.0000
0.3333 0.6667 0.6646
0.6667 0.3333 0.3354
0.0000 0.5000 0.0000
0.1656 0.3311 0.2838
0.1656 0.8344 0.2838
0.3311 0.1656 0.7162
0.5000 0.0000 0.0000
0.5000 0.5000 0.0000
0.6689 0.8344 0.2838
0.8344 0.1656 0.7162
0.8344 0.6689 0.7162
0.0000 0.0000 0.5000
0.3333 0.6667 0.1458
0.6667 0.3333 0.8542

Record 3
SrCoGe2B, optimized geometry, DFT GGA-PBE; formation energy from the elements = 225.5 meV/atom; space group = No. 123; VASP energy = -4.715 eV/atom; Fermi-level density of states = 5.20 states/eV per cell; density = 5553 kg/m³; spin magnetization = 0.00 μB/cell
1.0
4.7578 0.0000 0.0000
0.0000 4.7578 0.0000
0.0000 0.0000 3.9982
Sr Co Ge B
1 1 2 1
Direct
0.0000 0.0000 0.0000
0.5000 0.5000 0.5000
0.0000 0.5000 0.5000
0.5000 0.0000 0.5000
0.5000 0.5000 0.0000

Record 4
CoTcGe2B, optimized geometry, DFT GGA-PBE; formation energy from the elements = 859.2 meV/atom; space group = No. 123; VASP energy = -5.818 eV/atom; Fermi-level density of states = 4.12 states/eV per cell; density = 6901 kg/m³; spin magnetization = 2.20 μB/cell
1.0
4.5313 0.0000 0.0000
0.0000 4.5313 0.0000
0.0000 0.0000 3.6681
Co Tc Ge B
1 1 2 1
Direct
0.0000 0.0000 0.0000
0.5000 0.5000 0.5000
0.0000 0.5000 0.0000
0.5000 0.0000 0.0000
0.0000 0.0000 0.5000

Record 5
Th4Co12GeB3, optimized geometry, DFT GGA-PBE; formation energy from the elements = -286.6 meV/atom; space group = No. 229; VASP energy = -7.267 eV/atom; Fermi-level density of states = 9.18 states/eV per cell; density = 10376 kg/m³; spin magnetization = 0.00 μB/cell
1.0
-4.1141 4.1141 4.1141
4.1141 -4.1141 4.1141
4.1141 4.1141 -4.1141
Th Co Ge B
4 12 1 3
Direct
0.0000 0.0000 0.5000
0.0000 0.5000 0.0000
0.5000 0.0000 0.0000
0.5000 0.5000 0.5000
0.0000 0.2736 0.2736
0.0000 0.7264 0.7264
0.2500 0.5000 0.7500
0.2500 0.7500 0.5000
0.2736 0.0000 0.2736
0.2736 0.2736 0.0000
0.5000 0.2500 0.7500
0.5000 0.7500 0.2500
0.7264 0.0000 0.7264
0.7264 0.7264 0.0000
0.7500 0.2500 0.5000
0.7500 0.5000 0.2500
0.0000 0.0000 0.0000
0.0000 0.5000 0.5000
0.5000 0.0000 0.5000
0.5000 0.5000 0.0000

Record 6
TmCo3GeB, optimized geometry, DFT GGA-PBE; formation energy from the elements = -332.6 meV/atom; space group = No. 63; VASP energy = -6.513 eV/atom; Fermi-level density of states = 11.44 states/eV per cell; density = 8874 kg/m³; spin magnetization = 0.00 μB/cell
1.0
2.6485 -5.5376 0.0000
2.6485 5.5376 0.0000
0.0000 0.0000 5.4757
Tm Co Ge B
2 6 2 2
Direct
0.2351 0.7649 0.7500
0.7649 0.2351 0.2500
0.2469 0.2469 0.0000
0.2469 0.2469 0.5000
0.3388 0.6612 0.2500
0.6612 0.3388 0.7500
0.7531 0.7531 0.0000
0.7531 0.7531 0.5000
0.1340 0.8660 0.2500
0.8660 0.1340 0.7500
0.4825 0.5175 0.7500
0.5175 0.4825 0.2500

Record 7
Tm2Co5GeB2, optimized geometry, DFT GGA-PBE; formation energy from the elements = -462.3 meV/atom; space group = No. 127; VASP energy = -6.707 eV/atom; Fermi-level density of states = 8.06 states/eV per cell; density = 10019 kg/m³; spin magnetization = 0.00 μB/cell
1.0
8.8577 0.0000 0.0000
0.0000 8.8577 0.0000
0.0000 0.0000 3.0706
Tm Co Ge B
4 10 2 4
Direct
0.1774 0.3226 0.0000
0.3226 0.8226 0.0000
0.6774 0.1774 0.0000
0.8226 0.6774 0.0000
0.0000 0.5000 0.5000
0.0682 0.7762 0.5000
0.2238 0.0682 0.5000
0.2762 0.5682 0.5000
0.4318 0.2762 0.5000
0.5000 0.0000 0.5000
0.5682 0.7238 0.5000
0.7238 0.4318 0.5000
0.7762 0.9318 0.5000
0.9318 0.2238 0.5000
0.0000 0.0000 0.0000
0.5000 0.5000 0.0000
0.1172 0.6172 0.0000
0.3828 0.1172 0.0000
0.6172 0.8828 0.0000
0.8828 0.3828 0.0000

Record 8
CoGeBW2, optimized geometry, DFT GGA-PBE; formation energy from the elements = 819.8 meV/atom; space group = No. 123; VASP energy = -8.042 eV/atom; Fermi-level density of states = 7.91 states/eV per cell; density = 12220 kg/m³; spin magnetization = 0.01 μB/cell
1.0
4.1706 0.0000 0.0000
0.0000 4.1706 0.0000
0.0000 0.0000 3.9847
Co Ge B W
1 1 1 2
Direct
0.0000 0.0000 0.0000
0.5000 0.5000 0.0000
0.5000 0.5000 0.5000
0.0000 0.5000 0.5000
0.5000 0.0000 0.5000

Record 9
YCo3GeB, optimized geometry, DFT GGA-PBE; formation energy from the elements = -329.0 meV/atom; space group = No. 63; VASP energy = -6.842 eV/atom; Fermi-level density of states = 11.83 states/eV per cell; density = 7064 kg/m³; spin magnetization = 0.19 μB/cell
1.0
2.6692 -5.5534 0.0000
2.6692 5.5534 0.0000
0.0000 0.0000 5.5370
Y Co Ge B
2 6 2 2
Direct
0.2365 0.7635 0.7500
0.7635 0.2365 0.2500
0.2500 0.2500 0.0000
0.2500 0.2500 0.5000
0.3368 0.6632 0.2500
0.6632 0.3368 0.7500
0.7500 0.7500 0.0000
0.7500 0.7500 0.5000
0.1310 0.8690 0.2500
0.8690 0.1310 0.7500
0.4863 0.5137 0.7500
0.5137 0.4863 0.2500

Record 10
ZrCo2GeB, optimized geometry, DFT GGA-PBE; formation energy from the elements = 2096.0 meV/atom; space group = No. 123; VASP energy = -4.715 eV/atom; Fermi-level density of states = 6.16 states/eV per cell; density = 4451 kg/m³; spin magnetization = 1.69 μB/cell
1.0
4.5651 0.0000 0.0000
0.0000 4.5651 0.0000
0.0000 0.0000 5.2365
Zr Co Ge B
1 2 1 1
Direct
0.0000 0.0000 0.0000
0.0000 0.5000 0.0000
0.5000 0.0000 0.0000
0.0000 0.0000 0.5000
0.5000 0.5000 0.5000

Record 11
Co3BH, optimized geometry, DFT GGA-PBE; distance to the lowest polymorph of the same formula = 0.0 meV/atom; space group = No. 221; VASP energy = -6.051 eV/atom; Fermi-level density of states = 7.12 states/eV per cell; density = 7936 kg/m³; spin magnetization = 0.00 μB/cell
1.0
3.4046 0.0000 0.0000
0.0000 3.4046 0.0000
0.0000 0.0000 3.4046
Co B H
3 1 1
Direct
0.0000 0.0000 0.5000
0.0000 0.5000 0.0000
0.5000 0.0000 0.0000
0.5000 0.5000 0.5000
0.0000 0.0000 0.0000

Record 12
Co2BH2, optimized geometry, DFT GGA-PBE; distance to the lowest polymorph of the same formula = 318.4 meV/atom; space group = No. 127; VASP energy = -5.195 eV/atom; Fermi-level density of states = 5.54 states/eV per cell; density = 6095 kg/m³; spin magnetization = 0.00 μB/cell
1.0
5.1510 0.0000 0.0000
0.0000 5.1510 0.0000
0.0000 0.0000 2.6838
Co B H
4 2 4
Direct
0.1656 0.3344 0.0000
0.3344 0.8344 0.0000
0.6656 0.1656 0.0000
0.8344 0.6656 0.0000
0.0000 0.0000 0.0000
0.5000 0.5000 0.0000
0.1980 0.6980 0.5000
0.3020 0.1980 0.5000
0.6980 0.8020 0.5000
0.8020 0.3020 0.5000

Repeat the first record exactly.
Pa2Co6GeB, optimized geometry, DFT GGA-PBE; formation energy from the elements = -400.8 meV/atom; space group = No. 166; VASP energy = -7.693 eV/atom; Fermi-level density of states = 12.69 states/eV per cell; density = 10765 kg/m³; spin magnetization = 0.00 μB/cell
1.0
2.6081 1.5058 11.7722
-2.6081 1.5058 11.7722
0.0000 -3.0116 11.7722
Pa Co Ge B
4 12 2 2
Direct
0.1177 0.1177 0.1177
0.2869 0.2869 0.2869
0.7131 0.7131 0.7131
0.8823 0.8823 0.8823
0.1133 0.6455 0.6455
0.2031 0.2031 0.6907
0.2031 0.6907 0.2031
0.3093 0.7969 0.7969
0.3545 0.3545 0.8867
0.3545 0.8867 0.3545
0.6455 0.1133 0.6455
0.6455 0.6455 0.1133
0.6907 0.2031 0.2031
0.7969 0.3093 0.7969
0.7969 0.7969 0.3093
0.8867 0.3545 0.3545
0.4182 0.4182 0.4182
0.5818 0.5818 0.5818
0.0000 0.0000 0.0000
0.5000 0.5000 0.5000